# Mn2NiF GGA+U optimized geometry
data_Mn2NiF
_space_group_name_H-M_alt 'F m -3 m'
_space_group_IT_number 225
_space_group_name_Hall '-F 4 2 3'
_cell_length_a 6.089
_cell_length_b 6.089
_cell_length_c 6.089
_cell_angle_alpha 90.00
_cell_angle_beta 90.00
_cell_angle_gamma 90.00
loop_
_atom_site_label
_atom_site_type_symbol
_atom_site_fract_x
_atom_site_fract_y
_atom_site_fract_z
Mn1 Mn 0.250 0.250 0.250
Ni1 Ni 0.000 0.000 0.000
F1 F 0.000 0.000 0.500
# Spin magnetization = 9.309 μB per formula unit
# Calculated total energy = -4.7378 eV per atom
# DOS(E_F) = 3.3 states/eV/cell